Density functional theory data (PBE) for an optimized crystal structure of MnNb2Ni.

Structure (POSCAR):
```
MnNb2Ni
1.0
3.077 0.000 0.000
0.000 3.077 0.000
0.000 0.000 6.170
Mn Nb Ni
1 2 1
Direct
0.000 0.000 0.000 Mn
0.500 0.500 0.245 Nb
0.500 0.500 0.755 Nb
0.000 0.000 0.500 Ni
```

Energy relative to the elements, eV/atom: -0.06
Total DFT energy (no corrections), eV/atom: -8.83
Magnetic moment, μB per formula unit: 0.0